Rb3BeS after structural relaxation. Source: Alexandria via LeMat-Bulk, functional PBE.

Cell lengths 6.404, 6.404, 6.404 Å; angles 90.00, 90.00, 90.00 degrees
Element x y z (fractional)
Rb1 0.000 0.000 0.500
Rb2 0.000 0.500 0.000
Rb3 0.500 0.000 0.000
Be1 0.500 0.500 0.500
S1 0.000 0.000 0.000

- uncorrected formation energy (meV/atom) = 57
- E above lowest polymorph (eV per atom) = 0.0000


LaAgO2F after structural relaxation. Source: Alexandria via LeMat-Bulk, functional PBE.

Cell lengths 4.756, 4.756, 4.118 Å; angles 90.00, 90.00, 90.00 degrees
Element x y z (fractional)
La1 0.000 0.000 0.000
Ag1 0.500 0.500 0.000
O1 0.000 0.500 0.500
O2 0.500 0.000 0.500
F1 0.000 0.000 0.500

- uncorrected formation energy (meV/atom) = -776


Li3Sm4ThSe8 after structural relaxation. Source: Alexandria via LeMat-Bulk, functional PBE.

Cell lengths 8.235, 8.235, 8.235 Å; angles 60.06, 60.06, 60.06 degrees
Element x y z (fractional)
Li1 0.000 0.500 0.500
Li2 0.500 0.000 0.500
Li3 0.500 0.500 0.000
Sm1 0.000 0.000 0.500
Sm2 0.000 0.500 0.000
Sm3 0.500 0.000 0.000
Sm4 0.500 0.500 0.500
Th1 0.000 0.000 0.000
Se1 0.250 0.250 0.739
Se2 0.250 0.739 0.250
Se3 0.253 0.253 0.253
Se4 0.261 0.750 0.750
Se5 0.739 0.250 0.250
Se6 0.747 0.747 0.747
Se7 0.750 0.261 0.750
Se8 0.750 0.750 0.261

- uncorrected formation energy (meV/atom) = -1681


CaAl3Br12 after structural relaxation. Source: Alexandria via LeMat-Bulk, functional PBE.

Cell lengths 13.095, 13.095, 13.095 Å; angles 66.10, 66.10, 66.10 degrees
Element x y z (fractional)
Ca1 0.000 0.000 0.000
Ca2 0.500 0.500 0.500
Al1 0.131 0.695 0.165
Al2 0.165 0.131 0.695
Al3 0.195 0.631 0.665
Al4 0.631 0.665 0.195
Al5 0.665 0.195 0.631
Al6 0.695 0.165 0.131
Br1 0.049 0.754 0.578
Br2 0.078 0.254 0.549
Br3 0.090 0.202 0.859
Br4 0.108 0.617 0.362
Br5 0.117 0.608 0.862
Br6 0.120 0.952 0.774
Br7 0.202 0.859 0.090
Br8 0.254 0.549 0.078
Br9 0.274 0.452 0.620
Br10 0.359 0.702 0.590
Br11 0.362 0.108 0.617
Br12 0.452 0.620 0.274
Br13 0.549 0.078 0.254
Br14 0.578 0.049 0.754
Br15 0.590 0.359 0.702
Br16 0.608 0.862 0.117
Br17 0.617 0.362 0.108
Br18 0.620 0.274 0.452
Br19 0.702 0.590 0.359
Br20 0.754 0.578 0.049
Br21 0.774 0.120 0.952
Br22 0.859 0.090 0.202
Br23 0.862 0.117 0.608
Br24 0.952 0.774 0.120

- uncorrected formation energy (meV/atom) = -1186


PaTi3N after structural relaxation. Source: Alexandria via LeMat-Bulk, functional PBE.

Cell lengths 4.287, 4.287, 4.287 Å; angles 90.00, 90.00, 90.00 degrees
Element x y z (fractional)
Pa1 0.000 0.000 0.000
Ti1 0.000 0.500 0.500
Ti2 0.500 0.000 0.500
Ti3 0.500 0.500 0.000
N1 0.500 0.500 0.500

- uncorrected formation energy (meV/atom) = -455


Sm3SnO6 after structural relaxation. Source: Alexandria via LeMat-Bulk, functional PBE.

Cell lengths 6.900, 6.900, 6.900 Å; angles 92.99, 92.99, 92.99 degrees
Element x y z (fractional)
Sm1 0.061 0.569 0.754
Sm2 0.246 0.939 0.431
Sm3 0.431 0.246 0.939
Sm4 0.569 0.754 0.061
Sm5 0.754 0.061 0.569
Sm6 0.939 0.431 0.246
Sn1 0.000 0.000 0.000
Sn2 0.500 0.500 0.500
O1 0.034 0.913 0.705
O2 0.087 0.295 0.966
O3 0.167 0.612 0.438
O4 0.295 0.966 0.087
O5 0.388 0.562 0.833
O6 0.438 0.167 0.612
O7 0.562 0.833 0.388
O8 0.612 0.438 0.167
O9 0.705 0.034 0.913
O10 0.833 0.388 0.562
O11 0.913 0.705 0.034
O12 0.966 0.087 0.295

- uncorrected formation energy (meV/atom) = -2926
- E above lowest polymorph (eV per atom) = 0.0000